Run P
# Zr3HgO

A relaxed Zr3HgO crystal (GGA-PBE, Alexandria via LeMat-Bulk).

The structure belongs to space group Cmmm (No. 65); the cell edges are 9.119, 12.291 and 3.377 Å and the angles 90.00°, 90.00° and 90.00°. The inequivalent atoms are Zr at (0.000, 0.214, 0.000), Zr at (0.209, 0.367, 0.500), Hg at (0.000, 0.000, 0.500), Hg at (0.000, 0.500, 0.000) and O at (0.250, 0.250, 0.000).

Its density of states at the Fermi level is 12.53 states/eV per cell. Its crystal system is orthorhombic. Its total moment is 0.00 μB/f.u.


Run Q
# Zr3HgO

A relaxed Zr3HgO crystal (GGA-PBE, Alexandria via LeMat-Bulk).

The structure belongs to space group P2_1/m (No. 11); the cell edges are 3.435, 9.268 and 6.054 Å and the angles 90.00°, 106.46° and 90.00°. The inequivalent atoms are Zr at (0.038, 0.250, 0.076), Zr at (0.375, 0.036, 0.749), Hg at (0.247, 0.750, 0.496) and O at (0.000, 0.000, 0.000).

Its density of states at the Fermi level is 6.70 states/eV per cell. Its crystal system is monoclinic. Its total moment is 0.00 μB/f.u.


Best to worst by energy: run Q, run P.


Run P
# ZrHg3O

A relaxed ZrHg3O crystal (GGA-PBE, Alexandria via LeMat-Bulk).

The structure belongs to space group Pm-3m (No. 221); the cell edges are 4.761, 4.761 and 4.761 Å and the angles 90.00°, 90.00° and 90.00°. The inequivalent atoms are Zr at (0.000, 0.000, 0.000), Hg at (0.000, 0.500, 0.500) and O at (0.500, 0.500, 0.500).

Its density of states at the Fermi level is 5.12 states/eV per cell. Its crystal system is cubic. Its total moment is 2.42 μB/f.u.


Run Q
# ZrHg3O

A relaxed ZrHg3O crystal (GGA-PBE, Alexandria via LeMat-Bulk).

The structure belongs to space group Pm-3m (No. 221); the cell edges are 5.640, 5.640 and 5.640 Å and the angles 90.00°, 90.00° and 90.00°. The inequivalent atoms are Zr at (0.000, 0.000, 0.000), Hg at (0.000, 0.000, 0.500) and O at (0.500, 0.500, 0.500).

Its density of states at the Fermi level is 6.10 states/eV per cell. Its crystal system is cubic. Its total moment is 0.00 μB/f.u.


Best to worst by energy: run P, run Q.


Run P
# Hg4Os5

A relaxed Hg4Os5 crystal (GGA-PBE, Alexandria via LeMat-Bulk).

The structure belongs to space group I4/mmm (No. 139); the cell edges are 8.716, 8.716 and 4.196 Å and the angles 90.00°, 90.00° and 90.00°. The inequivalent atoms are Hg at (0.000, 0.322, 0.000), Os at (0.000, 0.000, 0.000) and Os at (0.144, 0.144, 0.500).

Its density of states at the Fermi level is 18.60 states/eV per cell. Its crystal system is tetragonal. Its total moment is 0.00 μB/f.u.


Run Q
# Hg4Os5

A relaxed Hg4Os5 crystal (GGA-PBE, Alexandria via LeMat-Bulk).

The structure belongs to space group P6_3/mcm (No. 193); the cell edges are 8.0746, 8.0746 and 5.4973 Å and the angles 90.00°, 90.00° and 120.00°. The inequivalent atoms are Hg at (0.0000, 0.0000, 0.0000), Hg at (0.0000, 0.3357, 0.2500), Os at (0.0000, 0.3382, 0.7500) and Os at (0.3333, 0.6667, 0.0000).

Its density of states at the Fermi level is 22.60 states/eV per cell. Its crystal system is hexagonal. Its total moment is 2.27 μB/f.u.


Best to worst by energy: run P, run Q.


Run P
# HgOs

A relaxed HgOs crystal (GGA-PBE, Alexandria via LeMat-Bulk).

The structure belongs to space group P3m1 (No. 156); the cell edges are 2.8795, 2.8795 and 14.8073 Å and the angles 90.00°, 90.00° and 120.00°. The inequivalent atoms are Hg at (0.0000, 0.0000, 0.0000), Hg at (0.0000, 0.0000, 0.3294), Hg at (0.6667, 0.3333, 0.5261), Os at (0.0000, 0.0000, 0.6964), Os at (0.6667, 0.3333, 0.1635) and Os at (0.6667, 0.3333, 0.8314).

Its density of states at the Fermi level is 3.53 states/eV per cell. Its crystal system is trigonal. Its total moment is 0.00 μB/f.u.


Run Q
# HgOs

A relaxed HgOs crystal (GGA-PBE, Alexandria via LeMat-Bulk).

The structure belongs to space group R-3m (No. 166, hexagonal axes); the cell edges are 2.8603, 2.8603 and 31.0240 Å and the angles 90.00°, 90.00° and 120.00°. The inequivalent atoms are Hg at (0.0000, 0.0000, 0.1154) and Os at (0.0000, 0.0000, 0.3657).

Its density of states at the Fermi level is 5.44 states/eV per cell. Its crystal system is trigonal. Its total moment is 0.00 μB/f.u.


Run R
# HgOs

A relaxed HgOs crystal (GGA-PBE, Alexandria via LeMat-Bulk).

The structure belongs to space group Amm2 (No. 38); the cell edges are 4.378, 2.876 and 18.050 Å and the angles 90.00°, 90.00° and 90.00°. The inequivalent atoms are Hg at (0.000, 0.000, 0.000), Hg at (0.000, 0.000, 0.296), Hg at (0.500, 0.000, 0.888), Os at (0.000, 0.000, 0.653), Os at (0.500, 0.000, 0.189) and Os at (0.500, 0.000, 0.570).

Its density of states at the Fermi level is 9.30 states/eV per cell. Its crystal system is orthorhombic. Its total moment is 0.00 μB/f.u.


Best to worst by energy: run Q, run R, run P.


Run P
# HgOs

A relaxed HgOs crystal (GGA-PBE, Alexandria via LeMat-Bulk).

The structure belongs to space group C2/m (No. 12); the cell edges are 7.728, 2.773 and 8.641 Å and the angles 90.00°, 109.44° and 90.00°. The inequivalent atoms are Hg at (0.108, 0.000, 0.358) and Os at (0.107, 0.500, 0.932).

Its density of states at the Fermi level is 2.91 states/eV per cell. Its crystal system is monoclinic. Its total moment is 0.00 μB/f.u.


Run Q
# HgOs

A relaxed HgOs crystal (GGA-PBE, Alexandria via LeMat-Bulk).

The structure belongs to space group P6_3/mmc (No. 194); the cell edges are 2.8935, 2.8935 and 9.4902 Å and the angles 90.00°, 90.00° and 120.00°. The inequivalent atoms are Hg at (0.0000, 0.0000, 0.0000) and Os at (0.3333, 0.6667, 0.2500).

Its density of states at the Fermi level is 3.56 states/eV per cell. Its crystal system is hexagonal. Its total moment is 0.00 μB/f.u.


Best to worst by energy: run P, run Q.


Run P
# Hg3Os

A relaxed Hg3Os crystal (GGA-PBE, Alexandria via LeMat-Bulk).

The structure belongs to space group I4/mmm (No. 139); the cell edges are 4.130, 4.130 and 9.267 Å and the angles 90.00°, 90.00° and 90.00°. The inequivalent atoms are Hg at (0.000, 0.000, 0.000), Hg at (0.000, 0.500, 0.250) and Os at (0.000, 0.000, 0.500).

Its density of states at the Fermi level is 6.67 states/eV per cell. Its crystal system is tetragonal. Its total moment is 0.83 μB/f.u.


Run Q
# Hg3Os

A relaxed Hg3Os crystal (GGA-PBE, Alexandria via LeMat-Bulk).

The structure belongs to space group Pm-3m (No. 221); the cell edges are 5.310, 5.310 and 5.310 Å and the angles 90.00°, 90.00° and 90.00°. The inequivalent atoms are Hg at (0.000, 0.000, 0.500) and Os at (0.000, 0.000, 0.000).

Its density of states at the Fermi level is 4.41 states/eV per cell. Its crystal system is cubic. Its total moment is 1.00 μB/f.u.


Best to worst by energy: run Q, run P.


Run P
# Hg5Os

A relaxed Hg5Os crystal (GGA-PBE, Alexandria via LeMat-Bulk).

The structure belongs to space group F-43m (No. 216); the cell edges are 8.116, 8.116 and 8.116 Å and the angles 90.00°, 90.00° and 90.00°. The inequivalent atoms are Hg at (0.000, 0.000, 0.000), Hg at (0.125, 0.125, 0.625) and Os at (0.250, 0.250, 0.250).

Its density of states at the Fermi level is 22.35 states/eV per cell. Its crystal system is cubic. Its total moment is 0.90 μB/f.u.


Run Q
# Hg5Os

A relaxed Hg5Os crystal (GGA-PBE, Alexandria via LeMat-Bulk).

The structure belongs to space group P6/mmm (No. 191); the cell edges are 5.4160, 5.4160 and 5.9566 Å and the angles 90.00°, 90.00° and 120.00°. The inequivalent atoms are Hg at (0.0000, 0.5000, 0.0000), Hg at (0.3333, 0.6667, 0.5000) and Os at (0.0000, 0.0000, 0.5000).

Its density of states at the Fermi level is 5.47 states/eV per cell. Its crystal system is hexagonal. Its total moment is 1.63 μB/f.u.


Best to worst by energy: run P, run Q.


Run P
# Hg5Os

A relaxed Hg5Os crystal (GGA-PBE, Alexandria via LeMat-Bulk).

The structure belongs to space group R32 (No. 155, hexagonal axes); the cell edges are 5.9394, 5.9394 and 13.1291 Å and the angles 90.00°, 90.00° and 120.00°. The inequivalent atoms are Hg at (0.0000, 0.0000, 0.1353), Hg at (0.0000, 0.5760, 0.0000) and Os at (0.0000, 0.0000, 0.5000).

Its density of states at the Fermi level is 5.84 states/eV per cell. Its crystal system is trigonal. Its total moment is 0.00 μB/f.u.


Run Q
# Hg5Os

A relaxed Hg5Os crystal (GGA-PBE, Alexandria via LeMat-Bulk).

The structure belongs to space group P-62m (No. 189); the cell edges are 5.7460, 5.7460 and 4.5035 Å and the angles 90.00°, 90.00° and 120.00°. The inequivalent atoms are Hg at (0.0000, 0.6927, 0.0000), Hg at (0.3333, 0.6667, 0.5000) and Os at (0.0000, 0.0000, 0.5000).

Its density of states at the Fermi level is 3.73 states/eV per cell. Its crystal system is hexagonal. Its total moment is 0.00 μB/f.u.


Run R
# Hg5Os

A relaxed Hg5Os crystal (GGA-PBE, Alexandria via LeMat-Bulk).

The structure belongs to space group P-6m2 (No. 187); the cell edges are 3.0105, 3.0105 and 17.0563 Å and the angles 90.00°, 90.00° and 120.00°. The inequivalent atoms are Hg at (0.0000, 0.0000, 0.0000), Hg at (0.0000, 0.0000, 0.3620), Hg at (0.6667, 0.3333, 0.1859) and Os at (0.6667, 0.3333, 0.5000).

Its density of states at the Fermi level is 2.58 states/eV per cell. Its crystal system is hexagonal. Its total moment is 0.85 μB/f.u.


Run S
# Hg5Os

A relaxed Hg5Os crystal (GGA-PBE, Alexandria via LeMat-Bulk).

The structure belongs to space group Imm2 (No. 44); the cell edges are 2.988, 9.900 and 10.511 Å and the angles 90.00°, 90.00° and 90.00°. The inequivalent atoms are Hg at (0.000, 0.000, 0.000), Hg at (0.000, 0.333, 0.160), Hg at (0.000, 0.333, 0.838) and Os at (0.000, 0.000, 0.499).

Its density of states at the Fermi level is 3.90 states/eV per cell. Its crystal system is orthorhombic. Its total moment is 0.47 μB/f.u.


Best to worst by energy: run S, run R, run P, run Q.


Run P
# Hg5Os4

A relaxed Hg5Os4 crystal (GGA-PBE, Alexandria via LeMat-Bulk).

The structure belongs to space group I4/mmm (No. 139); the cell edges are 9.001, 9.001 and 4.038 Å and the angles 90.00°, 90.00° and 90.00°. The inequivalent atoms are Hg at (0.000, 0.000, 0.000), Hg at (0.170, 0.170, 0.500) and Os at (0.000, 0.359, 0.000).

Its density of states at the Fermi level is 15.38 states/eV per cell. Its crystal system is tetragonal. Its total moment is 0.00 μB/f.u.


Run Q
# Hg5Os4

A relaxed Hg5Os4 crystal (GGA-PBE, Alexandria via LeMat-Bulk).

The structure belongs to space group P6_3/mcm (No. 193); the cell edges are 8.1789, 8.1789 and 5.6052 Å and the angles 90.00°, 90.00° and 120.00°. The inequivalent atoms are Hg at (0.0000, 0.3122, 0.2500), Hg at (0.3333, 0.6667, 0.0000), Os at (0.0000, 0.0000, 0.0000) and Os at (0.0000, 0.3458, 0.7500).

Its density of states at the Fermi level is 19.71 states/eV per cell. Its crystal system is hexagonal. Its total moment is 2.07 μB/f.u.


Best to worst by energy: run P, run Q.


Run P
# HgOs4

A relaxed HgOs4 crystal (GGA-PBE, Alexandria via LeMat-Bulk).

The structure belongs to space group Pm-3m (No. 221); the cell edges are 4.773, 4.773 and 4.773 Å and the angles 90.00°, 90.00° and 90.00°. The inequivalent atoms are Hg at (0.000, 0.000, 0.000), Os at (0.000, 0.000, 0.500) and Os at (0.500, 0.500, 0.500).

Its density of states at the Fermi level is 8.37 states/eV per cell. Its crystal system is cubic. Its total moment is 1.96 μB/f.u.


Run Q
# HgOs4

A relaxed HgOs4 crystal (GGA-PBE, Alexandria via LeMat-Bulk).

The structure belongs to space group I4/m (No. 87); the cell edges are 6.267, 6.267 and 3.925 Å and the angles 90.00°, 90.00° and 90.00°. The inequivalent atoms are Hg at (0.000, 0.000, 0.000) and Os at (0.090, 0.310, 0.500).

Its density of states at the Fermi level is 10.31 states/eV per cell. Its crystal system is tetragonal. Its total moment is 0.00 μB/f.u.


Run R
# HgOs4

A relaxed HgOs4 crystal (GGA-PBE, Alexandria via LeMat-Bulk).

The structure belongs to space group I4/mmm (No. 139); the cell edges are 3.853, 3.853 and 11.714 Å and the angles 90.00°, 90.00° and 90.00°. The inequivalent atoms are Hg at (0.000, 0.000, 0.000), Os at (0.000, 0.000, 0.394) and Os at (0.000, 0.500, 0.250).

Its density of states at the Fermi level is 9.89 states/eV per cell. Its crystal system is tetragonal. Its total moment is 0.00 μB/f.u.


Best to worst by energy: run Q, run R, run P.


Run P
# HgPOs3

A relaxed HgPOs3 crystal (GGA-PBE, Alexandria via LeMat-Bulk).

The structure belongs to space group Pm-3m (No. 221); the cell edges are 4.405, 4.405 and 4.405 Å and the angles 90.00°, 90.00° and 90.00°. The inequivalent atoms are Hg at (0.000, 0.000, 0.000), P at (0.500, 0.500, 0.500) and Os at (0.000, 0.500, 0.500).

Its density of states at the Fermi level is 6.38 states/eV per cell. Its crystal system is cubic. Its total moment is 0.63 μB/f.u.


Run Q
# HgPOs3

A relaxed HgPOs3 crystal (GGA-PBE, Alexandria via LeMat-Bulk).

The structure belongs to space group Pm-3m (No. 221); the cell edges are 4.951, 4.951 and 4.951 Å and the angles 90.00°, 90.00° and 90.00°. The inequivalent atoms are Hg at (0.000, 0.000, 0.000), P at (0.500, 0.500, 0.500) and Os at (0.000, 0.000, 0.500).

Its density of states at the Fermi level is 6.89 states/eV per cell. Its crystal system is cubic. Its total moment is 6.29 μB/f.u.


Best to worst by energy: run P, run Q.